First-principles (PBE-GGA) data for a relaxed Sc6MnCo5 crystal, as listed in the Alexandria database.

calculated formation energy	-0.27	eV per atom
uncorrected energy	-7.161	eV/atom

a b c (Å): 4.4468 6.3628 13.3609
angles (deg): 90.00 90.00 90.00
Closest atoms and distances in Å follow each position.
Space group Immm (No. 71)
One atom of each set of equivalent atoms:
Sc: 0.0000 0.2384 0.0000 x4  6 Co 2.69-2.71, 2 Mn 2.78
Sc: 0.0000 0.2558 0.3293 x8  7 Co 2.70-2.76, 1 Mn 2.80
Mn: 0.0000 0.0000 0.5000 x2  8 Sc 2.78-2.80, 4 Co 3.08
Co: 0.0000 0.0000 0.1677 x4  8 Sc 2.70-2.71
Co: 0.0000 0.5000 0.1596 x4  8 Sc 2.71-2.76
Co: 0.0000 0.5000 0.5000 x2  8 Sc 2.69-2.76